(1)
# Sm2NiIr

A relaxed Sm2NiIr crystal (PBE, Alexandria via LeMat-Bulk).

Properties
As for the density of states at the Fermi level: 0.617 states/eV/atom. Its space-group type is P2_1/m (11). As for the energy relative to the elements: -0.578 eV/atom. The calculated volume is 22.15 A^3/atom.

Structure (POSCAR):
```
Sm2NiIr
1.0
-2.914 -2.455 1.608
-0.159 -3.019 -4.899
5.354 -3.106 4.960
Sm Ni Ir
4 2 2
direct
0.750 0.215 0.432
0.250 0.785 0.568
0.250 0.782 0.073
0.750 0.218 0.927
0.250 0.352 0.211
0.750 0.648 0.789
0.750 0.647 0.285
0.250 0.353 0.715
```

---

(2)
# Sm2Ni4Sn3Ir

A relaxed Sm2Ni4Sn3Ir crystal (PBE, Alexandria via LeMat-Bulk).

Properties
As for the density of states at the Fermi level: 0.999 states/eV/atom. Its space-group type is P-4m2 (115). As for the energy relative to the elements: -0.432 eV/atom. The calculated volume is 19.00 A^3/atom.

Structure (POSCAR):
```
Sm2Ni4Sn3Ir
1.0
-3.734 1.543 -1.190
0.263 -2.149 -3.613
-4.909 -8.333 4.598
Sm Ni Sn Ir
2 4 3 1
direct
0.500 0.000 0.260
0.000 0.500 0.740
0.500 0.500 0.000
0.000 0.000 0.000
0.500 0.000 0.635
0.000 0.500 0.365
0.000 0.000 0.500
0.500 0.000 0.870
0.000 0.500 0.130
0.500 0.500 0.500
```

---

(3)
# Sm2Ni3Sn4Ir

A relaxed Sm2Ni3Sn4Ir crystal (PBE, Alexandria via LeMat-Bulk).

Properties
As for the density of states at the Fermi level: 0.674 states/eV/atom. Its space-group type is P-4m2 (115). As for the energy relative to the elements: -0.516 eV/atom. The calculated volume is 20.32 A^3/atom.

Structure (POSCAR):
```
Sm2Ni3Sn4Ir
1.0
-3.768 -2.294 -0.233
0.415 -1.114 4.255
-5.347 8.503 2.749
Sm Ni Sn Ir
2 3 4 1
direct
0.500 0.000 0.256
0.000 0.500 0.744
0.000 0.000 0.500
0.500 0.000 0.874
0.000 0.500 0.126
0.500 0.500 0.000
0.000 0.000 0.000
0.500 0.000 0.636
0.000 0.500 0.364
0.500 0.500 0.500
```

---

(4)
# SmTaNiIr2

A relaxed SmTaNiIr2 crystal (PBE, Alexandria via LeMat-Bulk).

Properties
As for the density of states at the Fermi level: 0.958 states/eV/atom. Its space-group type is I-4m2 (119). As for the energy relative to the elements: -0.450 eV/atom. The calculated volume is 18.50 A^3/atom.

Structure (POSCAR):
```
SmTaNiIr2
1.0
-0.223 0.014 -3.887
-3.852 -0.523 0.219
1.219 6.302 1.903
Sm Ta Ni Ir
1 1 1 2
direct
0.000 0.000 0.000
0.750 0.250 0.500
0.250 0.750 0.500
0.609 0.609 0.218
0.391 0.391 0.782
```

---

(5)
# TbSmNiIr

A relaxed TbSmNiIr crystal (PBE, Alexandria via LeMat-Bulk).

Properties
As for the density of states at the Fermi level: 0.619 states/eV/atom. Its space-group type is Amm2 (38). As for the energy relative to the elements: -0.602 eV/atom. The calculated volume is 21.63 A^3/atom.

Structure (POSCAR):
```
TbSmNiIr
1.0
-0.224 -2.240 -3.214
4.035 0.499 -0.629
1.112 -3.231 4.571
Tb Sm Ni Ir
1 1 1 1
direct
0.859 0.500 0.719
0.143 0.000 0.287
0.574 0.500 0.147
0.424 0.000 0.848
```

---

(6)
# SmThNiIr

A relaxed SmThNiIr crystal (PBE, Alexandria via LeMat-Bulk).

Properties
For the polymorph energy (0 for the lowest one), the calculation gives 0.000 eV/atom. As for the density of states at the Fermi level: 0.703 states/eV/atom. Its space-group type is Amm2 (38). As for the energy relative to the elements: -0.679 eV/atom. The calculated volume is 22.49 A^3/atom.

Structure (POSCAR):
```
SmThNiIr
1.0
-0.343 0.415 3.833
-3.466 -2.447 -0.045
3.292 -4.644 -1.157
Sm Th Ni Ir
1 1 1 1
direct
0.139 0.000 0.277
0.867 0.500 0.733
0.582 0.500 0.164
0.413 0.000 0.825
```